1.
Material: K4NbH2
Method: DFT, PBE-GGA
State: optimized geometry

Properties
Spin magnetization = 5.0 μB/f.u.
Final energy = -2.11 eV per atom
Fermi-level density of states = 1.881 states/eV/cell

abc: 6.6046 6.6046 8.9292
angles: 68.29 68.29 90.00
Element x y z (fractional)
K 0.2309 0.2309 0.5382
K 0.0000 0.5000 0.0000
K 0.7691 0.7691 0.4618
K 0.5000 0.0000 0.0000
Nb 0.0000 0.0000 0.0000
H 0.6096 0.6096 0.7807
H 0.3904 0.3904 0.2193

***

2.
Material: LiCaHg
Method: DFT, PBE-GGA
State: optimized geometry

Properties
Spin magnetization = 0.0 μB/f.u.
E_form = -1.208 eV per formula unit
Excess energy over the best structure of this formula in the dataset = 0.0 meV per atom
Fermi-level density of states = 3.649 states/eV/cell

abc: 4.4810 6.0254 6.0256
angles: 90.00 68.05 90.00
Element x y z (fractional)
Li 0.6833 0.3417 0.1000
Li 0.6833 0.8417 0.1000
Ca 0.9828 0.5918 0.5017
Ca 0.3840 0.0918 0.6977
Hg 0.2765 0.5917 0.9164
Hg 0.0903 0.0917 0.2830

***

3.
Material: DyErTmZn
Method: DFT, PBE-GGA
State: optimized geometry

Properties
Spin magnetization = 0.0 μB/f.u.
E_form = 0.156 eV per formula unit
Excess energy over the best structure of this formula in the dataset = 203.7 meV per atom
Fermi-level density of states = 4.402 states/eV/cell

abc: 5.2838 5.2838 5.2838
angles: 60.00 60.00 60.00
Element x y z (fractional)
Er 0.2500 0.2500 0.2500
Tm 0.5000 0.5000 0.5000
Dy 0.7500 0.7500 0.7500
Zn 0.0000 0.0000 0.0000

***

4.
Material: AcLaPr2In4
Method: DFT, PBE-GGA
State: optimized geometry

Properties
Spin magnetization = 0.0 μB/f.u.
E_form = -3.745 eV per formula unit
Fermi-level density of states = 4.527 states/eV/cell

abc: 5.6098 5.6098 9.7356
angles: 73.26 73.26 60.00
Element x y z (fractional)
In 0.1265 0.1265 0.6205
In 0.3766 0.3766 0.8701
In 0.6234 0.6234 0.1299
In 0.8735 0.8735 0.3795
Ac 0.0000 0.0000 0.0000
Pr 0.7500 0.7500 0.7500
Pr 0.2500 0.2500 0.2500
La 0.5000 0.5000 0.5000

***

5.
Material: TbTmGaRu
Method: DFT, PBE-GGA
State: optimized geometry

Properties
Spin magnetization = 0.0 μB/f.u.
E_form = -1.983 eV per formula unit
Excess energy over the best structure of this formula in the dataset = 0.0 meV per atom
Fermi-level density of states = 3.312 states/eV/cell

abc: 3.8611 4.3080 5.6597
angles: 90.00 109.94 90.00
Element x y z (fractional)
Tb 0.1467 0.0000 0.2935
Ru 0.4273 0.0000 0.8547
Ga 0.5663 0.5000 0.1327
Tm 0.8596 0.5000 0.7192

***

6.
Material: CrFeCo2
Method: DFT, PBE-GGA
State: optimized geometry

Properties
Spin magnetization = 2.3 μB/f.u.
E_form = 0.112 eV per formula unit
Fermi-level density of states = 4.370 states/eV/cell

abc: 4.3618 4.3618 4.3618
angles: 132.36 132.36 69.66
Element x y z (fractional)
Cr 0.5000 0.5000 0.0000
Co 0.2500 0.7500 0.5000
Co 0.0000 0.0000 0.0000
Fe 0.7500 0.2500 0.5000